Here is a relaxed structure of LiFe from Alexandria via LeMat-Bulk. Energies are from PBE.

abc: 2.489 2.489 8.734
angles: 90.00 90.00 90.00
Space group P4/nmm (No. 129, origin choice 2)
Unique sites:
Li 0.250 0.250 0.146 (multiplicity 2)
Fe 0.250 0.250 0.609 (multiplicity 2)

Computed properties:
calculated total energy = -19.9 eV for the cell shown
total magnetization = 4.89 μB/cell

***

Here is a relaxed structure of Ga4Ni5Ag from Alexandria via LeMat-Bulk. Energies are from PBE.

abc: 2.941 2.941 14.803
angles: 90.00 90.00 90.00
Space group P4/mmm (No. 123)
Unique sites:
Ga 0.000 0.000 0.097 (multiplicity 2)
Ga 0.000 0.000 0.292 (multiplicity 2)
Ni 0.500 0.500 0.000 (multiplicity 1)
Ni 0.500 0.500 0.192 (multiplicity 2)
Ni 0.500 0.500 0.380 (multiplicity 2)
Ag 0.000 0.000 0.500 (multiplicity 1)

Computed properties:
calculated total energy = -46.6 eV for the cell shown
total magnetization = 0.00 μB/cell

***

Here is a relaxed structure of PaZn4Ga from Alexandria via LeMat-Bulk. Energies are from PBE.

abc: 7.593 7.593 7.593
angles: 90.00 90.00 90.00
Space group F-43m (No. 216)
Unique sites:
Pa 0.000 0.000 0.000 (multiplicity 4)
Zn 0.125 0.125 0.375 (multiplicity 16)
Ga 0.250 0.250 0.750 (multiplicity 4)

Computed properties:
calculated total energy = -68.8 eV for the cell shown
total magnetization = 3.69 μB/cell

***

Here is a relaxed structure of Li2CdSi from Alexandria via LeMat-Bulk. Energies are from PBE.

abc: 4.035 4.035 4.055
angles: 90.00 90.00 90.00
Space group P4/mmm (No. 123)
Unique sites:
Li 0.000 0.500 0.000 (multiplicity 2)
Cd 0.000 0.000 0.500 (multiplicity 1)
Si 0.500 0.500 0.500 (multiplicity 1)

Computed properties:
formation energy without anion corrections = -0.1101 eV/atom
total magnetization = 0.00 μB/cell

***

Calculated D(E_F), 0.7267; 0.5800; 1.0823; 0.3791 states/eV per atom (same order as the records).